Entry from Alexandria via LeMat-Bulk: a geometry-optimized Re2SiBr structure (PBE).

Summary:
- Formation energy (no corrections): 864 meV per atom
- Crystal system: tetragonal
- Offset from the most stable computed form: 0.577 eV/atom

a = 3.047 Å, b = 4.393 Å, c = 4.393 Å
α = 90.00°, β = 90.00°, γ = 90.00°
Fractional positions:
Re 0.000 0.000 0.000
Re 0.000 0.500 0.500
Si 0.500 0.500 0.000
Br 0.500 0.000 0.500